Material: TaIr3Os
Method: DFT, PBE-GGA
State: optimized geometry

Cell and atoms, written as POSCAR:
```
TaIr3Os
1.0
4.6780 0.0000 0.0000
0.0000 4.6780 0.0000
0.0000 0.0000 4.6780
Ta Ir Os
1 3 1
Cartesian
0.0000 0.0000 0.0000
0.0000 2.3390 2.3390
2.3390 0.0000 2.3390
2.3390 2.3390 0.0000
2.3390 2.3390 2.3390
```

Properties
E_form in kJ/mol of formula units: 895.9
Total magnetic moment in μB per formula unit: 0.007
Mass density in g/cm3: 15.4
DOS(E_F) in states/eV/cell: 7.8